Compound: Pr8P3S4
Source: Alexandria
Functional: GGA-PBE
Structure: optimized geometry

a = 8.2675 Å, b = 8.2675 Å, c = 8.2660 Å
α = 119.89°, β = 119.89°, γ = 90.11°
Atoms (fractional coordinates):
Pr  0.2432  0.2432  0.4907
Pr  0.2466  0.2466  0.9969
Pr  0.2466  0.7534  0.0000
Pr  0.2475  0.7525  0.5000
Pr  0.7525  0.2475  0.5000
Pr  0.7534  0.2466  0.0000
Pr  0.7534  0.7534  0.0031
Pr  0.7568  0.7568  0.5093
P  0.0000  0.0000  0.5000
P  0.0000  0.5000  0.0000
P  0.5000  0.0000  0.0000
S  0.0000  0.0000  0.0000
S  0.0000  0.5000  0.5000
S  0.5000  0.0000  0.5000
S  0.5000  0.5000  0.5000

Output
Its space-group type is C2/m. The value obtained for the total energy is -6.44 eV per atom.